[1]
Crystalline CdNi2Se at its relaxed geometry, computed with PBE.

Values from the calculation:
Energy relative to the lowest polymorph listed for this composition in meV/atom: 0.0
Crystal system: tetragonal
VASP energy in eV/atom: -4.025
D(E_F) in states/eV/f.u.: 2.05

Cell lengths 3.1896, 3.1913, 6.5451 Å; angles 90.00, 90.00, 90.00 degrees
Closest atoms and distances in Å follow each position.
Sites, in units of the cell vectors:
Cd 0.5000 0.5000 0.8160  5 Ni 2.69-2.86
Ni 0.0000 0.0000 0.0395  1 Se 2.30
Ni 0.5000 0.5000 0.2530  4 Se 2.43, 4 Ni 2.65
Se 0.0000 0.0000 0.3916  5 Ni 2.30-2.43

[2]
Crystalline PuTl4Pb15 at its relaxed geometry, computed with PBE.

Values from the calculation:
Formation energy in eV/atom: 0.04
Crystal system: tetragonal
VASP energy in eV/atom: -3.930
D(E_F) in states/eV/f.u.: 23.13

Cell lengths 5.9771, 5.9771, 17.4824 Å; angles 90.00, 90.00, 90.00 degrees
Closest atoms and distances in Å follow each position.
Sites, in units of the cell vectors:
Pu 0.0000 0.0000 0.0000  2 Tl 3.44, 8 Pb 3.45
Tl 0.0000 0.0000 0.1966  1 Pu 3.44, 8 Pb 3.44-3.49, 1 Tl 3.53
Tl 0.0000 0.0000 0.3983  8 Pb 3.45-3.48, 2 Tl 3.53-3.55
Tl 0.0000 0.0000 0.6017  8 Pb 3.45-3.48, 2 Tl 3.53-3.55
Tl 0.0000 0.0000 0.8034  1 Pu 3.44, 8 Pb 3.44-3.49, 1 Tl 3.53
Pb 0.5000 0.5000 0.0000  10 Pb 3.45-3.55
Pb 0.5000 0.5000 0.2029  10 Pb 3.43-3.55
Pb 0.5000 0.5000 0.4010  10 Pb 3.45-3.48
Pb 0.5000 0.5000 0.5990  10 Pb 3.45-3.48
Pb 0.5000 0.5000 0.7971  10 Pb 3.43-3.55
Pb 0.5000 0.0000 0.0989  2 Tl 3.44, 6 Pb 3.45-3.50, 2 Pu 3.45
Pb 0.5000 0.0000 0.2993  6 Pb 3.43-3.51, 4 Tl 3.45-3.49
Pb 0.5000 0.0000 0.5000  6 Pb 3.45-3.51, 4 Tl 3.48
Pb 0.5000 0.0000 0.7007  6 Pb 3.43-3.51, 4 Tl 3.45-3.49
Pb 0.5000 0.0000 0.9011  2 Tl 3.44, 2 Pu 3.45, 6 Pb 3.45-3.50
Pb 0.0000 0.5000 0.0989  2 Tl 3.44, 6 Pb 3.45-3.50, 2 Pu 3.45
Pb 0.0000 0.5000 0.2993  6 Pb 3.43-3.51, 4 Tl 3.45-3.49
Pb 0.0000 0.5000 0.5000  6 Pb 3.45-3.51, 4 Tl 3.48
Pb 0.0000 0.5000 0.7007  6 Pb 3.43-3.51, 4 Tl 3.45-3.49
Pb 0.0000 0.5000 0.9011  2 Tl 3.44, 6 Pb 3.45-3.50, 2 Pu 3.45

[3]
Crystalline LiLaIn at its relaxed geometry, computed with PBE.

Values from the calculation:
Formation energy in eV/atom: -0.15
Crystal system: cubic
VASP energy in eV/atom: -3.344
D(E_F) in states/eV/f.u.: 4.48

Cell lengths 4.9223, 4.9223, 4.9223 Å; angles 60.00, 60.00, 60.00 degrees
Closest atoms and distances in Å follow each position.
Sites, in units of the cell vectors:
In 0.0000 0.0000 0.0000  4 Li 3.01
La 0.5000 0.5000 0.5000  4 Li 3.01
Li 0.2500 0.2500 0.2500  4 La 3.01, 4 In 3.01

[4]
Crystalline TlCrRe at its relaxed geometry, computed with PBE.

Values from the calculation:
Formation energy in eV/atom: 0.89
Energy relative to the lowest polymorph listed for this composition in meV/atom: 291.9
Crystal system: trigonal
VASP energy in eV/atom: -7.256
D(E_F) in states/eV/f.u.: 1.80

Cell lengths 4.4101, 4.4101, 2.9870 Å; angles 90.00, 90.00, 120.00 degrees
Closest atoms and distances in Å follow each position.
Sites, in units of the cell vectors:
Cr 0.0000 0.0000 0.0643  3 Re 2.60, 3 Tl 2.77
Re 0.6667 0.3333 0.2400  3 Cr 2.60, 3 Tl 2.89
Tl 0.3333 0.6667 0.6957  3 Cr 2.77, 6 Re 2.89-3.02, 2 Tl 2.99

[5]
Crystalline BaSrRe3 at its relaxed geometry, computed with PBE.

Values from the calculation:
Formation energy in eV/atom: 3.15
Energy relative to the lowest polymorph listed for this composition in meV/atom: 12.3
Crystal system: cubic
VASP energy in eV/atom: -5.044
D(E_F) in states/eV/f.u.: 6.88

Cell lengths 5.1516, 5.1516, 5.1516 Å; angles 90.00, 90.00, 90.00 degrees
Closest atoms and distances in Å follow each position.
Sites, in units of the cell vectors:
Re 0.0000 0.5000 0.0000  2 Ba 2.58
Re 0.0000 0.0000 0.5000  2 Ba 2.58
Re 0.5000 0.0000 0.0000  2 Ba 2.58
Ba 0.0000 0.0000 0.0000  6 Re 2.58
Sr 0.5000 0.5000 0.5000  12 Re 3.64

[6]
Crystalline Li5LaZn7 at its relaxed geometry, computed with PBE.

Values from the calculation:
Formation energy in eV/atom: -0.17
Crystal system: orthorhombic
VASP energy in eV/atom: -1.969
D(E_F) in states/eV/f.u.: 7.10

Cell lengths 4.7991, 7.1342, 7.1342 Å; angles 83.11, 70.35, 70.35 degrees
Closest atoms and distances in Å follow each position.
Sites, in units of the cell vectors:
Li 0.4967 0.0022 0.4998  2 Li 2.38-2.42, 1 Zn 2.65
Li 0.0013 0.0022 0.4998  2 Li 2.38-2.42, 1 Zn 2.65
Li 0.4967 0.4998 0.0022  2 Li 2.38-2.42, 1 Zn 2.65
Li 0.0013 0.4998 0.0022  2 Li 2.38-2.42, 1 Zn 2.65
Li 0.7341 0.7659 0.7659  4 Li 2.67, 4 Zn 2.69-2.86
La 0.9943 0.0057 0.0057  10 Zn 3.21-3.51, 6 Li 3.31-3.53
Zn 0.6439 0.3561 0.3561  5 Zn 2.69-2.91, 4 Li 2.83
Zn 0.3621 0.6379 0.6379  3 Zn 2.69-2.88, 6 Li 2.69-2.87
Zn 0.9993 0.3602 0.6413  4 Zn 2.66-2.91, 5 Li 2.85-2.87
Zn 0.9993 0.6413 0.3602  4 Zn 2.66-2.91, 5 Li 2.85-2.87
Zn 0.2708 0.2292 0.2292  4 Li 2.65, 4 Zn 2.69-2.91
Zn 0.5003 0.7708 0.2287  4 Li 2.67-2.68, 4 Zn 2.70-2.91
Zn 0.5003 0.2287 0.7708  4 Li 2.67-2.68, 4 Zn 2.70-2.91

[7]
Crystalline Pm2SmTh3Se6 at its relaxed geometry, computed with PBE.

Values from the calculation:
Crystal system: monoclinic
VASP energy in eV/atom: -6.453
D(E_F) in states/eV/f.u.: 7.84

Cell lengths 7.1489, 7.1489, 7.3801 Å; angles 99.19, 99.19, 118.99 degrees
Closest atoms and distances in Å follow each position.
Sites, in units of the cell vectors:
Pm 0.3337 0.6663 0.0000  6 Se 2.95
Pm 0.6663 0.3337 0.0000  6 Se 2.95
Sm 0.0000 0.0000 0.0000  6 Se 2.93-2.94
Th 0.1680 0.8320 0.5000  6 Se 2.99
Th 0.8320 0.1680 0.5000  6 Se 2.99
Th 0.5000 0.5000 0.5000  6 Se 2.99
Se 0.9188 0.5869 0.7558  1 Sm 2.93, 2 Pm 2.95, 3 Th 2.99
Se 0.7504 0.7504 0.2462  1 Sm 2.94, 2 Pm 2.95, 3 Th 2.99
Se 0.0812 0.4131 0.2442  1 Sm 2.93, 2 Pm 2.95, 3 Th 2.99
Se 0.5869 0.9188 0.7558  1 Sm 2.93, 2 Pm 2.95, 3 Th 2.99
Se 0.2496 0.2496 0.7538  1 Sm 2.94, 2 Pm 2.95, 3 Th 2.99
Se 0.4131 0.0812 0.2442  1 Sm 2.93, 2 Pm 2.95, 3 Th 2.99

[8]
Crystalline CoTcOs2 at its relaxed geometry, computed with PBE.

Values from the calculation:
Formation energy in eV/atom: 0.36
Energy relative to the lowest polymorph listed for this composition in meV/atom: 262.1
Crystal system: orthorhombic
VASP energy in eV/atom: -9.620
D(E_F) in states/eV/f.u.: 5.25

Cell lengths 5.2293, 5.2293, 5.2293 Å; angles 149.27, 130.81, 59.13 degrees
Closest atoms and distances in Å follow each position.
Sites, in units of the cell vectors:
Co 0.2463 0.7463 0.5000  6 Os 2.44-2.58, 2 Tc 2.45
Os 0.0254 0.0254 0.0000  2 Co 2.44, 4 Tc 2.63
Os 0.7595 0.2596 0.5000  4 Co 2.58, 4 Os 2.77-2.79, 2 Tc 2.89
Tc 0.4687 0.4687 0.0000  2 Co 2.45, 4 Os 2.63

[9]
Crystalline Pb3W at its relaxed geometry, computed with PBE.

Values from the calculation:
Formation energy in eV/atom: 0.65
Energy relative to the lowest polymorph listed for this composition in meV/atom: 189.0
Crystal system: trigonal
VASP energy in eV/atom: -5.373
D(E_F) in states/eV/f.u.: 1.47

Cell lengths 11.2156, 11.2156, 11.2156 Å; angles 16.83, 16.83, 16.83 degrees
Closest atoms and distances in Å follow each position.
Sites, in units of the cell vectors:
Pb 0.7372 0.7372 0.7372  3 W 3.01, 6 Pb 3.28
Pb 0.5000 0.5000 0.5000  6 Pb 3.28
Pb 0.2628 0.2628 0.2628  3 W 3.01, 6 Pb 3.28
W 0.0000 0.0000 0.0000  6 Pb 3.01, 6 W 3.28

[10]
Crystalline Na4CdCl6 at its relaxed geometry, computed with PBE.

Values from the calculation:
Crystal system: trigonal
VASP energy in eV/atom: -3.115
D(E_F) in states/eV/f.u.: 0.00

Cell lengths 8.2079, 8.2079, 8.2079 Å; angles 88.27, 88.27, 91.73 degrees
Closest atoms and distances in Å follow each position.
Sites, in units of the cell vectors:
Na 0.3952 0.1048 0.2500  6 Cl 2.88-3.17
Na 0.8952 0.2500 0.3952  6 Cl 2.88-3.17
Na 0.2500 0.6048 0.1048  6 Cl 2.88-3.17
Na 0.2500 0.2500 0.7500  6 Cl 2.89
Na 0.7500 0.7500 0.2500  6 Cl 2.89
Na 0.7500 0.3952 0.8952  6 Cl 2.88-3.17
Na 0.1048 0.7500 0.6048  6 Cl 2.88-3.17
Na 0.6048 0.8952 0.7500  6 Cl 2.88-3.17
Cd 0.5000 0.5000 0.5000  6 Cl 2.63
Cd 0.0000 0.0000 0.0000  6 Cl 2.63
Cl 0.6897 0.0461 0.0654  1 Cd 2.63, 2 Na 2.88-2.89
Cl 0.0654 0.3103 0.0461  1 Cd 2.63, 2 Na 2.88-2.89
Cl 0.5654 0.4539 0.1897  1 Cd 2.63, 2 Na 2.88-2.89
Cl 0.9539 0.0654 0.6897  1 Cd 2.63, 2 Na 2.88-2.89
Cl 0.5461 0.1897 0.5654  1 Cd 2.63, 2 Na 2.88-2.89
Cl 0.1897 0.4346 0.4539  1 Cd 2.63, 2 Na 2.88-2.89
Cl 0.8103 0.5654 0.5461  1 Cd 2.63, 2 Na 2.88-2.89
Cl 0.4539 0.8103 0.4346  1 Cd 2.63, 2 Na 2.88-2.89
Cl 0.0461 0.9346 0.3103  1 Cd 2.63, 2 Na 2.88-2.89
Cl 0.4346 0.5461 0.8103  1 Cd 2.63, 2 Na 2.88-2.89
Cl 0.9346 0.6897 0.9539  1 Cd 2.63, 2 Na 2.88-2.89
Cl 0.3103 0.9539 0.9346  1 Cd 2.63, 2 Na 2.88-2.89